Record 1
Compound: Ba2LiIn4Pb3
Source: Alexandria
Functional: GGA-PBE
Structure: relaxed

Results
raw total energy	-3.06	eV per atom

a b c (Å): 4.9329 4.9329 13.5842
angles (deg): 90.00 90.00 90.00
Space group P-4m2 (No. 115)
Inequivalent atoms, fractional coordinates:
1 Ba 0.0000 0.5000 0.2501 x2
2 Li 0.0000 0.0000 0.5000 x1
3 In 0.0000 0.0000 0.0000 x1
4 In 0.0000 0.5000 0.6293 x2
5 In 0.5000 0.5000 0.0000 x1
6 Pb 0.0000 0.5000 0.8562 x2
7 Pb 0.5000 0.5000 0.5000 x1

Record 2
Compound: BaLiInPb2
Source: Alexandria
Functional: GGA-PBE
Structure: relaxed

Results
relative energy among the computed polymorphs	0.116	eV/atom
raw total energy	-3.05	eV per atom

a b c (Å): 5.3670 5.3670 5.3054
angles (deg): 90.00 90.00 90.00
Space group P4/mmm (No. 123)
Inequivalent atoms, fractional coordinates:
1 Ba 0.0000 0.0000 0.0000 x1
2 Li 0.5000 0.5000 0.5000 x1
3 In 0.5000 0.5000 0.0000 x1
4 Pb 0.0000 0.5000 0.5000 x2

Record 3
Compound: Ba2Li3InPb4
Source: Alexandria
Functional: GGA-PBE
Structure: relaxed

Results
raw total energy	-3.13	eV per atom

a b c (Å): 4.8486 4.8486 12.4872
angles (deg): 90.00 90.00 90.00
Space group P-4m2 (No. 115)
Inequivalent atoms, fractional coordinates:
1 Ba 0.0000 0.5000 0.2493 x2
2 Li 0.0000 0.5000 0.8689 x2
3 Li 0.5000 0.5000 0.5000 x1
4 In 0.0000 0.0000 0.5000 x1
5 Pb 0.0000 0.0000 0.0000 x1
6 Pb 0.0000 0.5000 0.6438 x2
7 Pb 0.5000 0.5000 0.0000 x1

Record 4
Compound: Ba2LiIn3Pb4
Source: Alexandria
Functional: GGA-PBE
Structure: relaxed

Results
raw total energy	-3.20	eV per atom

a b c (Å): 5.0081 5.0081 13.3209
angles (deg): 90.00 90.00 90.00
Space group P-4m2 (No. 115)
Inequivalent atoms, fractional coordinates:
1 Ba 0.0000 0.5000 0.2438 x2
2 Li 0.5000 0.5000 0.0000 x1
3 In 0.0000 0.0000 0.0000 x1
4 In 0.0000 0.5000 0.6437 x2
5 Pb 0.0000 0.0000 0.5000 x1
6 Pb 0.0000 0.5000 0.8701 x2
7 Pb 0.5000 0.5000 0.5000 x1

Record 5
Compound: Ba2LiInPb6
Source: Alexandria
Functional: GGA-PBE
Structure: relaxed

Results
raw total energy	-3.33	eV per atom

a b c (Å): 7.5690 7.5690 41.1454
angles (deg): 90.00 90.00 120.00
Space group R-3m (No. 166, hexagonal axes)
Inequivalent atoms, fractional coordinates:
1 Ba 0.0000 0.0000 0.1099 x6
2 Ba 0.0000 0.0000 0.2829 x6
3 Li 0.0000 0.0000 0.0000 x3
4 Li 0.0000 0.0000 0.5000 x3
5 In 0.0000 0.0000 0.4263 x6
6 Pb 0.0432 0.5216 0.3013 x18
7 Pb 0.0535 0.5268 0.8630 x18

Record 6
Compound: BaLiIn2Pb
Source: Alexandria
Functional: GGA-PBE
Structure: relaxed

Results
raw total energy	-2.84	eV per atom

a b c (Å): 5.3006 5.3006 5.3311
angles (deg): 90.00 90.00 90.00
Space group P4/mmm (No. 123)
Inequivalent atoms, fractional coordinates:
1 Ba 0.0000 0.0000 0.0000 x1
2 Li 0.5000 0.5000 0.5000 x1
3 In 0.0000 0.5000 0.5000 x2
4 Pb 0.5000 0.5000 0.0000 x1

Record 7
Compound: BaLi4In2Pb
Source: Alexandria
Functional: GGA-PBE
Structure: relaxed

Results
raw total energy	-2.59	eV per atom

a b c (Å): 4.8691 4.8691 29.6033
angles (deg): 90.00 90.00 120.00
Space group R-3m (No. 166, hexagonal axes)
Inequivalent atoms, fractional coordinates:
1 Ba 0.0000 0.0000 0.0000 x3
2 Li 0.0000 0.0000 0.1326 x6
3 Li 0.0000 0.0000 0.4085 x6
4 In 0.0000 0.0000 0.2446 x6
5 Pb 0.0000 0.0000 0.5000 x3

Record 8
Compound: BaLi2In4Pd
Source: Alexandria
Functional: GGA-PBE
Structure: relaxed

Results
raw total energy	-3.14	eV per atom

a b c (Å): 4.6605 4.6605 31.4949
angles (deg): 90.00 90.00 120.00
Space group R-3m (No. 166, hexagonal axes)
Inequivalent atoms, fractional coordinates:
1 Ba 0.0000 0.0000 0.0000 x3
2 Li 0.0000 0.0000 0.2237 x6
3 In 0.0000 0.0000 0.1310 x6
4 In 0.0000 0.0000 0.4091 x6
5 Pd 0.0000 0.0000 0.5000 x3

One value per record, in order, for volume: 33.05 30.56 29.36 33.41 34.02 29.96 25.32 24.68 Å³ per atom.
One value per record, in order, for total magnetic moment: 0.00 0.00 0.00 0.00 0.00 0.00 0.00 0.00 μB per cell.
One value per record, in order, for DFT formation energy: -26.9 -24.3 -40.2 -30.5 -24.2 -23.1 -23.8 -38.8 kJ per mole of atoms.